Material: LaZr2Sb
Method: DFT, PBE
State: relaxed

Output
uncorrected formation energy = -0.26 eV/atom
total DFT energy (no corrections) = -6.799 eV per atom
total magnetization = 0.0 μB/f.u.
theoretical density = 7.43 Mg/m³

Lattice parameters (Å, degrees): 5.6576 5.6576 5.6576 131.67 131.67 70.75
Closest atoms and distances in Å follow each position.
Atoms (fractional coordinates):
La 0.0000 0.0000 0.0000  8 Zr 3.27, 4 Sb 3.28
Zr 0.2500 0.7500 0.5000  4 La 3.27, 4 Sb 3.27, 4 Zr 3.28
Zr 0.7500 0.2500 0.5000  4 La 3.27, 4 Sb 3.27, 4 Zr 3.28
Sb 0.5000 0.5000 0.0000  8 Zr 3.27, 4 La 3.28



Material: LaZrSb3
Method: DFT, PBE
State: relaxed

Output
uncorrected formation energy = 0.91 eV/atom
relative energy among the computed polymorphs = 1708 meV/atom
total DFT energy (no corrections) = -4.258 eV per atom
total magnetization = 0.0 μB/f.u.
theoretical density = 5.02 Mg/m³

Lattice parameters (Å, degrees): 5.8164 5.8164 5.8164 90.00 90.00 90.00
Closest atoms and distances in Å follow each position.
Atoms (fractional coordinates):
La 0.0000 0.0000 0.0000  6 Sb 2.91
Zr 0.5000 0.5000 0.5000  12 Sb 4.11
Sb 0.0000 0.0000 0.5000  2 La 2.91
Sb 0.0000 0.5000 0.0000  2 La 2.91
Sb 0.5000 0.0000 0.0000  2 La 2.91



Material: La2ZrSb2
Method: DFT, PBE
State: relaxed

Output
uncorrected formation energy = -0.85 eV/atom
relative energy among the computed polymorphs = 0 meV/atom
total DFT energy (no corrections) = -6.178 eV per atom
total magnetization = 1.8 μB/f.u.
theoretical density = 6.85 Mg/m³

Lattice parameters (Å, degrees): 8.0393 8.0393 4.5968 90.00 90.00 90.00
Closest atoms and distances in Å follow each position.
Atoms (fractional coordinates):
La 0.1632 0.3368 0.0000  6 Sb 3.16-3.39
La 0.3368 0.8368 0.0000  6 Sb 3.16-3.39
La 0.6632 0.1632 0.0000  6 Sb 3.16-3.39
La 0.8368 0.6632 0.0000  6 Sb 3.16-3.39
Zr 0.0000 0.0000 0.5000  4 Sb 3.08
Zr 0.5000 0.5000 0.5000  4 Sb 3.08
Sb 0.1462 0.6462 0.5000  2 Zr 3.08, 6 La 3.16-3.39, 1 Sb 3.32
Sb 0.3538 0.1462 0.5000  2 Zr 3.08, 6 La 3.16-3.39, 1 Sb 3.32
Sb 0.6462 0.8538 0.5000  2 Zr 3.08, 6 La 3.16-3.39, 1 Sb 3.32
Sb 0.8538 0.3538 0.5000  2 Zr 3.08, 6 La 3.16-3.39, 1 Sb 3.32



Material: LaZrSb3
Method: DFT, PBE
State: relaxed

Output
uncorrected formation energy = -0.80 eV/atom
relative energy among the computed polymorphs = 0 meV/atom
total DFT energy (no corrections) = -5.966 eV per atom
total magnetization = 0.0 μB/f.u.
theoretical density = 6.94 Mg/m³

Lattice parameters (Å, degrees): 13.7736 6.3978 6.4709 90.00 90.00 90.00
Closest atoms and distances in Å follow each position.
Atoms (fractional coordinates):
La 0.1813 0.0101 0.2500  9 Sb 3.36-3.45
La 0.1813 0.4899 0.7500  9 Sb 3.36-3.45
La 0.8187 0.5101 0.2500  9 Sb 3.36-3.45
La 0.8187 0.9899 0.7500  9 Sb 3.36-3.45
Zr 0.4117 0.7500 0.0000  6 Sb 2.90-3.00, 2 Zr 3.24
Zr 0.4117 0.7500 0.5000  6 Sb 2.90-3.00, 2 Zr 3.24
Zr 0.5883 0.2500 0.0000  6 Sb 2.90-3.00, 2 Zr 3.24
Zr 0.5883 0.2500 0.5000  6 Sb 2.90-3.00, 2 Zr 3.24
Sb 0.0028 0.7500 0.0000  4 Sb 3.20-3.24, 4 La 3.38
Sb 0.0028 0.7500 0.5000  4 Sb 3.20-3.24, 4 La 3.38
Sb 0.2672 0.5067 0.2500  2 Zr 3.00, 1 Sb 3.21
Sb 0.2672 0.9933 0.7500  2 Zr 3.00, 1 Sb 3.21
Sb 0.4194 0.1266 0.2500  4 Zr 2.90-2.94, 1 Sb 3.21
Sb 0.4194 0.3734 0.7500  4 Zr 2.90-2.94, 1 Sb 3.21
Sb 0.5806 0.6266 0.2500  4 Zr 2.90-2.94, 1 Sb 3.21
Sb 0.5806 0.8734 0.7500  4 Zr 2.90-2.94, 1 Sb 3.21
Sb 0.7328 0.0067 0.2500  2 Zr 3.00, 1 Sb 3.21
Sb 0.7328 0.4933 0.7500  2 Zr 3.00, 1 Sb 3.21
Sb 0.9972 0.2500 0.0000  4 Sb 3.20-3.24, 4 La 3.38
Sb 0.9972 0.2500 0.5000  4 Sb 3.20-3.24, 4 La 3.38